*i*
The following is a GGA-PBE calculation of a geometry-optimized CsRbCd2Ag structure, from Alexandria via LeMat-Bulk.

The structure in POSCAR format:
```
CsRbCd2Ag
1.0
5.663 0.000 0.000
0.000 5.663 0.000
0.000 0.000 6.391
Cs Rb Cd Ag
1 1 2 1
direct
0.000 0.000 0.000
0.500 0.500 0.000
0.000 0.500 0.500
0.500 0.000 0.500
0.500 0.500 0.500
```

Calculated values
**V**: 40.99 Å³/atom
**D(E_F)**: 2.58 states/eV per cell
**Total magnetization**: 0.0 μB/f.u.
**Calculated density**: 4.5 g cm⁻³



*ii*
The following is a GGA-PBE calculation of a geometry-optimized CsRbCd2Ag structure, from Alexandria via LeMat-Bulk.

The structure in POSCAR format:
```
CsRbCd2Ag
1.0
5.666 0.000 0.000
0.000 5.666 0.000
0.000 0.000 6.546
Cs Rb Cd Ag
1 1 2 1
direct
0.000 0.000 0.000
0.500 0.500 0.000
0.000 0.500 0.500
0.500 0.000 0.500
0.000 0.000 0.500
```

Calculated values
**V**: 42.03 Å³/atom
**D(E_F)**: 2.51 states/eV per cell
**Total magnetization**: 0.0 μB/f.u.
**Calculated density**: 4.4 g cm⁻³



Short version: *ii* is the least stable of them.



*i*
The following is a GGA-PBE calculation of a geometry-optimized CdCuAg6 structure, from Alexandria via LeMat-Bulk.

The structure in POSCAR format:
```
CdCuAg6
1.0
4.138 0.000 0.000
0.000 4.138 0.000
0.000 0.000 8.257
Cd Cu Ag
1 1 6
direct
0.000 0.000 0.000
0.000 0.000 0.500
0.000 0.500 0.262
0.000 0.500 0.738
0.500 0.000 0.262
0.500 0.000 0.738
0.500 0.500 0.000
0.500 0.500 0.500
```

Calculated values
**V**: 17.68 Å³/atom
**D(E_F)**: 1.94 states/eV per cell
**Total magnetization**: 0.0 μB/f.u.
**Calculated density**: 9.7 g cm⁻³



*ii*
The following is a GGA-PBE calculation of a geometry-optimized CdCuAg6 structure, from Alexandria via LeMat-Bulk.

The structure in POSCAR format:
```
CdCuAg6
1.0
2.737 1.580 7.374
-2.737 1.580 7.374
0.000 -3.160 7.374
Cd Cu Ag
1 1 6
direct
0.000 0.000 0.000
0.500 0.500 0.500
0.063 0.063 0.560
0.063 0.560 0.063
0.440 0.937 0.937
0.560 0.063 0.063
0.937 0.440 0.937
0.937 0.937 0.440
```

Calculated values
**V**: 23.91 Å³/atom
**D(E_F)**: 1.77 states/eV per cell
**Total magnetization**: 0.0 μB/f.u.
**Calculated density**: 7.1 g cm⁻³



Short version: *ii* is the least stable of them.



*i*
The following is a GGA-PBE calculation of a geometry-optimized CdCu2AgH structure, from Alexandria via LeMat-Bulk.

The structure in POSCAR format:
```
CdCu2AgH
1.0
3.925 0.000 0.000
0.000 3.925 0.000
0.000 0.000 4.254
Cd Cu Ag H
1 2 1 1
direct
0.000 0.000 0.000
0.000 0.500 0.500
0.500 0.000 0.500
0.500 0.500 0.000
0.500 0.500 0.500
```

Calculated values
**V**: 13.10 Å³/atom
**D(E_F)**: 1.17 states/eV per cell
**Total magnetization**: 0.0 μB/f.u.
**Calculated density**: 8.8 g cm⁻³



*ii*
The following is a GGA-PBE calculation of a geometry-optimized CdCu2AgH structure, from Alexandria via LeMat-Bulk.

The structure in POSCAR format:
```
CdCu2AgH
1.0
3.885 0.000 0.000
0.000 3.885 0.000
0.000 0.000 4.371
Cd Cu Ag H
1 2 1 1
direct
0.000 0.000 0.000
0.000 0.500 0.500
0.500 0.000 0.500
0.500 0.500 0.000
0.000 0.000 0.500
```

Calculated values
**V**: 13.20 Å³/atom
**D(E_F)**: 0.59 states/eV per cell
**Total magnetization**: 0.0 μB/f.u.
**Calculated density**: 8.8 g cm⁻³



Short version: *ii* is the least stable of them.



*i*
The following is a GGA-PBE calculation of a geometry-optimized DyCd4Ag structure, from Alexandria via LeMat-Bulk.

The structure in POSCAR format:
```
DyCd4Ag
1.0
0.000 4.096 4.096
4.096 0.000 4.096
4.096 4.096 0.000
Dy Cd Ag
1 4 1
direct
0.000 0.000 0.000
0.125 0.625 0.625
0.625 0.125 0.625
0.625 0.625 0.125
0.625 0.625 0.625
0.250 0.250 0.250
```

Calculated values
**V**: 22.91 Å³/atom
**D(E_F)**: 3.14 states/eV per cell
**Total magnetization**: 0.0 μB/f.u.
**Calculated density**: 8.7 g cm⁻³



*ii*
The following is a GGA-PBE calculation of a geometry-optimized DyCd4Ag structure, from Alexandria via LeMat-Bulk.

The structure in POSCAR format:
```
DyCd4Ag
1.0
4.925 0.000 0.000
-2.460 4.460 0.000
-0.006 -1.062 6.220
Dy Cd Ag
1 4 1
direct
0.000 0.000 0.000
0.307 0.615 0.742
0.367 0.734 0.258
0.633 0.266 0.742
0.693 0.385 0.258
0.000 0.000 0.500
```

Calculated values
**V**: 22.77 Å³/atom
**D(E_F)**: 2.83 states/eV per cell
**Total magnetization**: 0.0 μB/f.u.
**Calculated density**: 8.8 g cm⁻³



Short version: *i* is the least stable of them.



*i*
The following is a GGA-PBE calculation of a geometry-optimized Dy4Cd5Ag structure, from Alexandria via LeMat-Bulk.

The structure in POSCAR format:
```
Dy4Cd5Ag
1.0
7.828 -2.557 0.000
7.828 2.557 0.000
-1.849 0.000 6.192
Dy Cd Ag
4 5 1
direct
0.096 0.096 0.391
0.311 0.311 0.195
0.689 0.689 0.805
0.904 0.904 0.609
0.100 0.100 0.912
0.299 0.299 0.696
0.500 0.500 0.000
0.701 0.701 0.304
0.900 0.900 0.088
0.500 0.500 0.500
```

Calculated values
**V**: 24.79 Å³/atom
**D(E_F)**: 6.53 states/eV per cell
**Total magnetization**: 0.0 μB/f.u.
**Calculated density**: 8.8 g cm⁻³



*ii*
The following is a GGA-PBE calculation of a geometry-optimized Dy4Cd5Ag structure, from Alexandria via LeMat-Bulk.

The structure in POSCAR format:
```
Dy4Cd5Ag
1.0
3.676 0.000 0.000
0.000 3.676 0.000
0.000 0.000 18.355
Dy Cd Ag
4 5 1
direct
0.000 0.000 0.104
0.000 0.000 0.311
0.000 0.000 0.689
0.000 0.000 0.896
0.500 0.500 0.000
0.500 0.500 0.207
0.500 0.500 0.416
0.500 0.500 0.584
0.500 0.500 0.793
0.000 0.000 0.500
```

Calculated values
**V**: 24.80 Å³/atom
**D(E_F)**: 8.80 states/eV per cell
**Total magnetization**: 0.0 μB/f.u.
**Calculated density**: 8.8 g cm⁻³



Short version: *ii* is the least stable of them.



*i*
The following is a GGA-PBE calculation of a geometry-optimized DyCd5Ag6 structure, from Alexandria via LeMat-Bulk.

The structure in POSCAR format:
```
DyCd5Ag6
1.0
4.801 0.000 0.000
-0.001 7.103 0.000
-2.326 -0.012 7.087
Dy Cd Ag
1 5 6
direct
0.000 0.000 0.000
0.000 0.500 0.000
0.341 0.000 0.669
0.345 0.500 0.676
0.655 0.500 0.324
0.659 0.000 0.331
0.164 0.258 0.343
0.164 0.743 0.343
0.500 0.256 0.000
0.500 0.744 0.000
0.836 0.257 0.657
0.836 0.742 0.657
```

Calculated values
**V**: 20.14 Å³/atom
**D(E_F)**: 3.64 states/eV per cell
**Total magnetization**: 0.0 μB/f.u.
**Calculated density**: 9.4 g cm⁻³



*ii*
The following is a GGA-PBE calculation of a geometry-optimized DyCd5Ag6 structure, from Alexandria via LeMat-Bulk.

The structure in POSCAR format:
```
DyCd5Ag6
1.0
4.768 -6.485 0.000
4.768 6.485 0.000
-2.032 0.000 3.912
Dy Cd Ag
1 5 6
direct
0.000 0.000 0.000
0.169 0.831 0.500
0.330 0.670 0.000
0.500 0.500 0.500
0.670 0.330 0.000
0.831 0.169 0.500
0.089 0.422 0.255
0.257 0.257 0.756
0.422 0.089 0.255
0.578 0.911 0.745
0.743 0.743 0.244
0.911 0.578 0.745
```

Calculated values
**V**: 20.16 Å³/atom
**D(E_F)**: 3.59 states/eV per cell
**Total magnetization**: 0.0 μB/f.u.
**Calculated density**: 9.4 g cm⁻³



Short version: *ii* is the least stable of them.



*i*
The following is a GGA-PBE calculation of a geometry-optimized DyCd3Ag3 structure, from Alexandria via LeMat-Bulk.

The structure in POSCAR format:
```
DyCd3Ag3
1.0
3.677 2.123 6.508
-3.677 2.123 6.508
0.000 -4.245 6.508
Dy Cd Ag
2 6 6
direct
0.157 0.157 0.157
0.843 0.843 0.843
0.062 0.581 0.229
0.229 0.062 0.581
0.419 0.771 0.938
0.581 0.229 0.062
0.771 0.938 0.419
0.938 0.419 0.771
0.214 0.677 0.431
0.323 0.569 0.786
0.431 0.214 0.677
0.569 0.786 0.323
0.677 0.431 0.214
0.786 0.323 0.569
```

Calculated values
**V**: 21.77 Å³/atom
**D(E_F)**: 4.04 states/eV per cell
**Total magnetization**: 0.0 μB/f.u.
**Calculated density**: 9.0 g cm⁻³



*ii*
The following is a GGA-PBE calculation of a geometry-optimized DyCd3Ag3 structure, from Alexandria via LeMat-Bulk.

The structure in POSCAR format:
```
DyCd3Ag3
1.0
7.446 0.000 0.000
0.000 7.446 0.000
0.000 0.000 7.446
Dy Cd Ag
2 6 6
direct
0.000 0.000 0.000
0.500 0.500 0.500
0.000 0.250 0.500
0.000 0.750 0.500
0.250 0.500 0.000
0.500 0.000 0.250
0.500 0.000 0.750
0.750 0.500 0.000
0.000 0.500 0.250
0.000 0.500 0.750
0.250 0.000 0.500
0.500 0.250 0.000
0.500 0.750 0.000
0.750 0.000 0.500
```

Calculated values
**V**: 29.48 Å³/atom
**D(E_F)**: 8.21 states/eV per cell
**Total magnetization**: 0.0 μB/f.u.
**Calculated density**: 6.6 g cm⁻³



Short version: *ii* is the least stable of them.



*i*
The following is a GGA-PBE calculation of a geometry-optimized Dy3Cd7Ag2 structure, from Alexandria via LeMat-Bulk.

The structure in POSCAR format:
```
Dy3Cd7Ag2
1.0
5.076 0.000 0.000
0.000 4.380 0.000
-0.020 0.000 13.108
Dy Cd Ag
3 7 2
direct
0.000 0.000 0.000
0.496 0.500 0.663
0.504 0.500 0.337
0.002 0.500 0.167
0.249 0.000 0.498
0.500 0.000 0.160
0.500 0.000 0.840
0.500 0.500 0.000
0.751 0.000 0.502
0.998 0.500 0.833
0.002 0.000 0.700
0.998 0.000 0.300
```

Calculated values
**V**: 24.29 Å³/atom
**D(E_F)**: 7.37 states/eV per cell
**Total magnetization**: 0.0 μB/f.u.
**Calculated density**: 8.5 g cm⁻³



*ii*
The following is a GGA-PBE calculation of a geometry-optimized Dy3Cd7Ag2 structure, from Alexandria via LeMat-Bulk.

The structure in POSCAR format:
```
Dy3Cd7Ag2
1.0
4.761 0.000 0.000
0.000 3.891 0.000
-2.315 0.000 15.565
Dy Cd Ag
3 7 2
direct
0.000 0.000 0.000
0.319 0.500 0.643
0.681 0.500 0.357
0.079 0.500 0.154
0.229 0.000 0.456
0.415 0.000 0.834
0.500 0.500 0.000
0.585 0.000 0.166
0.771 0.000 0.544
0.921 0.500 0.846
0.143 0.000 0.282
0.857 0.000 0.718
```

Calculated values
**V**: 24.03 Å³/atom
**D(E_F)**: 5.94 states/eV per cell
**Total magnetization**: 0.0 μB/f.u.
**Calculated density**: 8.6 g cm⁻³



Short version: *i* is the least stable of them.